Material: Pr3SnGe3
Method: DFT, PBE-GGA
State: relaxed

Values from the calculation:
Energy: -72.87 eV/cell
ΔH_f (0 K): -0.606 eV/atom
Fermi-level density of states: 4.07 states/eV/f.u.

Lattice parameters (Å, degrees): 6.0021 8.9291 8.9291 120.00 90.00 90.00
Fractional positions:
1 Ge 0.7500 0.0630 0.7209
2 Ge 0.2500 0.9370 0.2791
3 Ge 0.2500 0.3422 0.0630
4 Ge 0.7500 0.2791 0.3422
5 Ge 0.2500 0.7209 0.6578
6 Ge 0.7500 0.6578 0.9370
7 Pr 0.2500 0.6107 0.9228
8 Pr 0.2500 0.3121 0.3893
9 Pr 0.7500 0.9228 0.3121
10 Pr 0.2500 0.0772 0.6879
11 Pr 0.7500 0.6879 0.6107
12 Pr 0.7500 0.3893 0.0772
13 Sn 0.2500 0.6667 0.3333
14 Sn 0.7500 0.3333 0.6667

***

Material: Pr6SnGe2
Method: DFT, PBE-GGA
State: relaxed

Values from the calculation:
Energy: -94.42 eV/cell
ΔH_f (0 K): -0.588 eV/atom
Fermi-level density of states: 9.38 states/eV/f.u.

Lattice parameters (Å, degrees): 8.9380 8.9380 8.9380 105.98 109.89 112.61
Fractional positions:
1 Pr 0.4613 0.2755 0.1858
2 Pr 0.2920 0.6144 0.3224
3 Pr 0.5387 0.7245 0.8142
4 Pr 0.9103 0.7245 0.1858
5 Pr 0.7967 0.2434 0.0402
6 Pr 0.2920 0.9695 0.6776
7 Pr 0.0897 0.2755 0.8142
8 Pr 0.2033 0.2434 0.4467
9 Pr 0.7080 0.3856 0.6776
10 Pr 0.7080 0.0305 0.3224
11 Pr 0.7967 0.7566 0.5533
12 Pr 0.2033 0.7566 0.9598
13 Sn 0.0000 0.5000 0.5000
14 Sn 0.0000 0.0000 0.0000
15 Ge 0.6308 0.0000 0.6308
16 Ge 0.5000 0.6173 0.1173
17 Ge 0.5000 0.3827 0.8827
18 Ge 0.3692 0.0000 0.3692

***

Material: Pr4SnGe
Method: DFT, PBE-GGA
State: relaxed

Values from the calculation:
Energy: -62.11 eV/cell
ΔH_f (0 K): -0.553 eV/atom
Fermi-level density of states: 6.85 states/eV/f.u.

Lattice parameters (Å, degrees): 6.1784 8.8310 8.4343 114.00 101.49 108.60
Fractional positions:
1 Pr 0.2777 0.6242 0.8434
2 Pr 0.7736 0.7068 0.6361
3 Pr 0.7223 0.3758 0.1566
4 Pr 0.3625 0.9293 0.6361
5 Pr 0.9343 0.7808 0.1566
6 Pr 0.6375 0.0707 0.3639
7 Pr 0.0657 0.2192 0.8434
8 Pr 0.2264 0.2932 0.3639
9 Sn 0.3712 0.6212 0.2424
10 Sn 0.6288 0.3788 0.7576
11 Ge 0.7489 0.9989 0.9978
12 Ge 0.2511 0.0011 0.0022